1.
Entry from OQMD: a geometry-optimized Sm4C2I2Br3 structure (PBE).

SG   No. 12
Calculated density   5.979 g/cm³
V   28.3 A^3/atom
Calculated total energy   -5.363 eV per atom
Magnetization   0.01 Bohr magnetons per cell

```
Sm4C2I2Br3
1.0
9.7724 -1.9615 0.0000
9.7724 1.9615 0.0000
-1.9139 0.0000 8.1058
Sm C I Br
4 2 2 3
Cartesian
-0.5458 0.0000 2.4521
5.9716 0.0000 3.3433
11.6593 0.0000 4.7625
18.1767 0.0000 5.6536
8.1308 0.0000 3.8877
9.5001 0.0000 4.2181
1.4980 0.0000 7.1130
16.1329 0.0000 0.9928
2.6628 0.0000 2.6862
9.7724 0.0000 0.0000
14.9681 0.0000 5.4196
```

2.
Entry from OQMD: a geometry-optimized SrLuHg structure (PBE).

SG   No. 216
Calculated density   7.473 g/cm³
V   34.3 A^3/atom
ΔE to the lowest computed polymorph   0.000 eV/atom
Magnetization   0.27 Bohr magnetons per cell

```
SrLuHg
1.0
0.0000 3.7195 3.7195
3.7195 0.0000 3.7195
3.7195 3.7195 0.0000
Sr Lu Hg
1 1 1
Cartesian
0.0000 0.0000 0.0000
3.7195 3.7195 3.7195
5.5793 5.5793 5.5793
```

3.
Entry from OQMD: a geometry-optimized FeCoCuAs structure (PBE).

SG   No. 216
Calculated density   9.215 g/cm³
V   11.4 A^3/atom
ΔE to the lowest computed polymorph   0.000 eV/atom
Magnetization   0.28 Bohr magnetons per cell

```
FeCoCuAs
1.0
0.0000 2.8363 2.8363
2.8363 0.0000 2.8363
2.8363 2.8363 0.0000
Fe Co Cu As
1 1 1 1
Cartesian
0.0000 0.0000 0.0000
2.8363 2.8363 2.8363
4.2545 4.2545 4.2545
1.4182 1.4182 1.4182
```

4.
Entry from OQMD: a geometry-optimized YTlFeAg structure (PBE).

SG   No. 216
Calculated density   9.211 g/cm³
V   20.6 A^3/atom
ΔE to the lowest computed polymorph   0.011 eV/atom
Magnetization   2.47 Bohr magnetons per cell

```
YTlFeAg
1.0
0.0000 3.4536 3.4536
3.4536 0.0000 3.4536
3.4536 3.4536 0.0000
Y Tl Fe Ag
1 1 1 1
Cartesian
0.0000 0.0000 0.0000
3.4536 3.4536 3.4536
5.1804 5.1804 5.1804
1.7268 1.7268 1.7268
```

5.
Entry from OQMD: a geometry-optimized CdGeAs structure (PBE).

SG   No. 62
Calculated density   6.506 g/cm³
V   22.1 A^3/atom
Calculated total energy   -3.216 eV per atom

```
CdGeAs
1.0
7.2594 0.0000 0.0000
0.0000 4.1684 0.0000
0.0000 0.0000 8.7714
Cd Ge As
4 4 4
Cartesian
0.1414 1.0421 1.5656
3.4882 3.1263 5.9513
3.7711 1.0421 2.8201
7.1179 3.1263 7.2058
1.0874 1.0421 5.3223
2.5423 3.1263 0.9366
4.7171 1.0421 7.8348
6.1719 3.1263 3.4491
1.6598 3.1263 3.6275
1.9699 1.0421 8.0132
5.2894 3.1263 0.7582
5.5996 1.0421 5.1439
```

6.
Entry from OQMD: a geometry-optimized Bi2Pd structure (PBE).

SG   No. 62
Calculated density   11.495 g/cm³
V   25.3 A^3/atom
Calculated total energy   -4.618 eV per atom

```
Bi2Pd
1.0
7.6332 0.0000 0.0000
0.0000 4.4520 0.0000
0.0000 0.0000 8.9165
Bi Pd
8 4
Cartesian
0.1886 1.1130 1.3767
1.0547 1.1130 5.1019
2.7619 3.3390 0.6437
3.6280 3.3390 5.8350
4.0052 1.1130 3.0815
4.8712 1.1130 8.2728
6.5785 3.3390 3.8145
7.4445 3.3390 7.5397
1.8157 1.1130 7.8950
2.0009 3.3390 3.4368
5.6323 1.1130 5.4797
5.8175 3.3390 1.0215
```